[1]
Density functional theory data (PBE) for BaTlPb4 after structural relaxation.

Geometry as POSCAR:
```
BaTlPb4
1.0
-1.902 6.346 0.699
-5.404 2.228 -3.195
-5.526 1.463 3.421
Ba Pb Tl
1 4 1
direct
0.000 0.000 0.000
0.122 0.626 0.626
0.626 0.626 0.626
0.626 0.122 0.626
0.626 0.626 0.122
0.250 0.250 0.250
```

Output
**Space group**: F-43m (216)
**Calculated volume**: 34.84 Å³ per atom
**Distance to the lowest polymorph of the same formula**: 0.000 kcal/mol of atoms
**E_tot**: -3.410 eV/atom


[2]
Density functional theory data (PBE) for BaTlPb2 after structural relaxation.

Geometry as POSCAR:
```
BaTlPb2
1.0
6.505 -0.051 -0.167
-2.961 6.206 0.069
0.582 1.064 3.452
Pb Tl Ba
2 1 1
direct
0.000 0.000 0.000
0.500 0.000 0.500
0.000 0.500 0.500
0.500 0.500 0.000
```

Output
**Space group**: C2/m (12)
**Calculated volume**: 34.87 Å³ per atom
**Distance to the lowest polymorph of the same formula**: 3.910 kcal/mol of atoms
**E_tot**: -3.096 eV/atom


[3]
Density functional theory data (PBE) for BaTlPb2 after structural relaxation.

Geometry as POSCAR:
```
BaTlPb2
1.0
6.425 -0.020 -0.038
2.430 5.948 0.038
-4.410 -2.990 3.591
Pb Tl Ba
2 1 1
direct
0.000 0.000 0.000
0.500 0.500 0.000
0.750 0.250 0.500
0.250 0.750 0.500
```

Output
**Space group**: I4/mmm (139)
**Calculated volume**: 34.36 Å³ per atom
**Distance to the lowest polymorph of the same formula**: 1.047 kcal/mol of atoms
**E_tot**: -3.220 eV/atom


[4]
Density functional theory data (PBE) for Ba2Tl7Pb after structural relaxation.

Geometry as POSCAR:
```
Ba2Tl7Pb
1.0
-4.657 7.044 -0.551
-6.262 1.374 5.523
0.778 6.056 5.859
Ba Tl Pb
2 7 1
direct
0.250 0.250 0.250
0.750 0.750 0.750
0.500 0.500 0.500
0.251 0.749 0.749
0.251 0.749 0.251
0.749 0.251 0.749
0.749 0.749 0.251
0.251 0.251 0.749
0.749 0.251 0.251
0.000 0.000 0.000
```

Output
**Space group**: Fm-3m (225)
**Calculated volume**: 42.84 Å³ per atom
**Distance to the lowest polymorph of the same formula**: 6.143 kcal/mol of atoms
**E_tot**: -2.347 eV/atom


[5]
Density functional theory data (PBE) for Ba3TlPb2 after structural relaxation.

Geometry as POSCAR:
```
Ba3TlPb2
1.0
-5.489 -9.729 3.559
4.175 -5.403 -8.332
8.863 2.212 3.007
Ba Tl Pb
12 4 8
direct
0.256 0.966 0.024
0.244 0.466 0.476
0.744 0.034 0.976
0.756 0.534 0.524
0.353 0.594 0.111
0.147 0.094 0.389
0.647 0.406 0.889
0.853 0.906 0.611
0.893 0.678 0.242
0.607 0.178 0.258
0.107 0.322 0.758
0.393 0.822 0.742
0.501 0.856 0.442
0.999 0.356 0.058
0.499 0.144 0.558
0.001 0.644 0.942
0.602 0.826 0.194
0.898 0.326 0.306
0.398 0.174 0.806
0.102 0.674 0.694
0.196 0.779 0.292
0.304 0.279 0.208
0.804 0.221 0.708
0.696 0.721 0.792
```

Output
**Space group**: P2_1/c (14)
**Calculated volume**: 43.00 Å³ per atom
**E_tot**: -3.045 eV/atom


[6]
Density functional theory data (PBE) for Ba2Tl12Pb after structural relaxation.

Geometry as POSCAR:
```
Ba2Tl12Pb
1.0
-6.630 2.296 0.934
-1.778 -6.263 2.778
5.083 6.964 18.954
Ba Tl Pb
4 24 2
direct
0.500 0.000 0.265
0.000 0.500 0.265
0.000 0.500 0.735
0.500 0.000 0.735
0.500 0.500 0.799
0.000 0.000 0.799
0.751 0.749 0.896
0.251 0.751 0.896
0.000 0.000 0.347
0.249 0.749 0.104
0.831 0.331 0.565
0.500 0.500 0.347
0.249 0.251 0.896
0.749 0.751 0.104
0.331 0.169 0.565
0.669 0.169 0.435
0.000 0.000 0.653
0.169 0.331 0.435
0.251 0.249 0.104
0.831 0.669 0.435
0.669 0.831 0.565
0.000 0.000 0.201
0.169 0.669 0.565
0.500 0.500 0.653
0.749 0.249 0.896
0.500 0.500 0.201
0.331 0.831 0.435
0.751 0.251 0.104
0.500 0.000 0.000
0.000 0.500 0.000
```

Output
**Space group**: P4/nbm (125)
**Calculated volume**: 34.77 Å³ per atom
**E_tot**: -2.477 eV/atom